1.
This record from Alexandria describes an optimized crystal structure of ZrCuAu2. The functional is GGA-PBE.

N(E_F): 0.55 states/eV/atom
calculated volume: 71.8 Å³ per cell
DFT formation energy: -0.07 eV/atom
crystal system: monoclinic
total energy: -4.865 eV/atom

Cell: 2.977 5.000 6.075 Å, 52.60 90.00 90.00°
Sites, in units of the cell vectors:
Au  0.500  0.500  0.000
Au  0.000  0.000  0.000
Cu  0.500  0.500  0.500
Zr  0.000  0.000  0.500



2.
This record from Alexandria describes an optimized crystal structure of ZrCuAu2. The functional is GGA-PBE.

N(E_F): 0.58 states/eV/atom
calculated volume: 72.3 Å³ per cell
DFT formation energy: -0.24 eV/atom
crystal system: orthorhombic
total energy: -5.037 eV/atom

Cell: 4.725 2.879 5.314 Å, 90.03 90.00 90.00°
Sites, in units of the cell vectors:
Cu  0.000  0.249  0.492
Au  0.500  0.251  0.272
Au  0.000  0.250  0.982
Zr  0.500  0.750  0.755



3.
This record from Alexandria describes an optimized crystal structure of ZrCuAu2. The functional is GGA-PBE.

N(E_F): 0.55 states/eV/atom
calculated volume: 140.6 Å³ per cell
DFT formation energy: -0.40 eV/atom
crystal system: orthorhombic
total energy: -5.201 eV/atom

Cell: 4.783 4.800 6.125 Å, 90.00 90.00 90.00°
Sites, in units of the cell vectors:
Au  0.000  0.822  0.759
Au  0.500  0.178  0.741
Au  0.000  0.822  0.241
Au  0.500  0.178  0.259
Zr  0.500  0.664  0.000
Zr  0.000  0.336  0.500
Cu  0.000  0.321  0.000
Cu  0.500  0.679  0.500



4.
This record from Alexandria describes an optimized crystal structure of Zr2Cu2Au. The functional is GGA-PBE.

N(E_F): 0.71 states/eV/atom
energy above the most stable polymorph in this dataset: 1.67 eV/f.u.
calculated volume: 183.0 Å³ per cell
DFT formation energy: 0.05 eV/atom
crystal system: tetragonal
total energy: -5.666 eV/atom

Cell: 8.027 8.027 2.840 Å, 90.00 90.00 90.00°
Sites, in units of the cell vectors:
Au  0.000  0.000  0.000
Au  0.500  0.500  0.000
Zr  0.676  0.176  0.000
Zr  0.324  0.824  0.000
Zr  0.824  0.676  0.000
Zr  0.176  0.324  0.000
Cu  0.115  0.615  0.500
Cu  0.385  0.115  0.500
Cu  0.615  0.885  0.500
Cu  0.885  0.385  0.500



5.
This record from Alexandria describes an optimized crystal structure of ZrCuAu2. The functional is GGA-PBE.

N(E_F): 0.58 states/eV/atom
calculated volume: 70.2 Å³ per cell
DFT formation energy: -0.33 eV/atom
crystal system: tetragonal
total energy: -5.129 eV/atom

Cell: 4.906 4.906 4.906 Å, 128.58 128.58 75.68°
Sites, in units of the cell vectors:
Zr  0.750  0.250  0.500
Cu  0.500  0.500  0.000
Au  0.250  0.750  0.500
Au  0.000  0.000  0.000



6.
This record from Alexandria describes an optimized crystal structure of ZrCuAu2. The functional is GGA-PBE.

N(E_F): 0.57 states/eV/atom
calculated volume: 70.2 Å³ per cell
DFT formation energy: -0.33 eV/atom
crystal system: tetragonal
total energy: -5.126 eV/atom

Cell: 3.237 3.237 6.703 Å, 90.00 90.00 90.01°
Sites, in units of the cell vectors:
Cu  0.500  0.500  0.250
Zr  0.500  0.500  0.750
Au  0.000  0.000  0.470
Au  0.000  0.000  0.030



7.
This record from Alexandria describes an optimized crystal structure of Zr2Cu2Au. The functional is GGA-PBE.

N(E_F): 1.21 states/eV/atom
energy above the most stable polymorph in this dataset: 0.00 eV/f.u.
calculated volume: 175.2 Å³ per cell
DFT formation energy: -0.29 eV/atom
crystal system: tetragonal
total energy: -6.000 eV/atom

Cell: 6.969 6.969 3.606 Å, 90.00 90.00 90.00°
Sites, in units of the cell vectors:
Cu  0.375  0.875  0.000
Cu  0.125  0.375  0.000
Cu  0.875  0.625  0.000
Cu  0.625  0.125  0.000
Au  0.000  0.000  0.000
Au  0.500  0.500  0.000
Zr  0.829  0.329  0.500
Zr  0.671  0.829  0.500
Zr  0.329  0.171  0.500
Zr  0.171  0.671  0.500



8.
This record from Alexandria describes an optimized crystal structure of Zr3CuAu. The functional is GGA-PBE.

N(E_F): 2.02 states/eV/atom
energy above the most stable polymorph in this dataset: 0.00 eV/f.u.
calculated volume: 115.5 Å³ per cell
DFT formation energy: 0.44 eV/atom
crystal system: cubic
total energy: -6.167 eV/atom

Cell: 4.869 4.869 4.869 Å, 90.00 90.00 90.00°
Sites, in units of the cell vectors:
Zr  0.000  0.500  0.000
Zr  0.000  0.000  0.500
Zr  0.500  0.000  0.000
Cu  0.000  0.000  0.000
Au  0.500  0.500  0.500



9.
This record from Alexandria describes an optimized crystal structure of ZrCuAu2. The functional is GGA-PBE.

N(E_F): 0.98 states/eV/atom
calculated volume: 70.1 Å³ per cell
DFT formation energy: -0.31 eV/atom
crystal system: cubic
total energy: -5.109 eV/atom

Cell: 4.628 4.628 4.628 Å, 60.00 60.00 60.00°
Sites, in units of the cell vectors:
Au  0.250  0.250  0.250
Au  0.000  0.000  0.000
Zr  0.750  0.750  0.750
Cu  0.500  0.500  0.500



10.
This record from Alexandria describes an optimized crystal structure of ZrCuAu2. The functional is GGA-PBE.

N(E_F): 0.75 states/eV/atom
calculated volume: 75.9 Å³ per cell
DFT formation energy: 0.13 eV/atom
crystal system: orthorhombic
total energy: -4.672 eV/atom

Cell: 6.142 6.142 6.142 Å, 54.31 152.80 133.95°
Sites, in units of the cell vectors:
Au  0.000  0.234  0.234
Au  0.000  0.766  0.766
Cu  0.000  0.000  0.000
Zr  0.000  0.500  0.500



11.
This record from Alexandria describes an optimized crystal structure of ZrCuAu2. The functional is GGA-PBE.

N(E_F): 1.05 states/eV/atom
calculated volume: 152.3 Å³ per cell
DFT formation energy: 0.01 eV/atom
crystal system: tetragonal
total energy: -4.790 eV/atom

Cell: 7.458 7.458 5.942 Å, 51.13 51.13 90.00°
Sites, in units of the cell vectors:
Au  0.875  0.844  0.750
Au  0.156  0.625  0.250
Au  0.594  0.125  0.250
Au  0.375  0.406  0.750
Cu  0.250  0.750  0.500
Cu  0.500  0.500  0.000
Zr  0.000  0.000  0.000
Zr  0.750  0.250  0.500



12.
This record from Alexandria describes an optimized crystal structure of ZrCuAu2. The functional is GGA-PBE.

N(E_F): 0.63 states/eV/atom
calculated volume: 71.4 Å³ per cell
DFT formation energy: -0.25 eV/atom
crystal system: tetragonal
total energy: -5.050 eV/atom

Cell: 3.375 3.375 6.267 Å, 90.00 90.00 90.00°
Last column: magnetic moment on the atom in μB.
Sites, in units of the cell vectors:
Au  0.500  0.500  0.275  0.01
Au  0.000  0.000  0.007  0.03
Cu  0.000  0.000  0.479  0.04
Zr  0.500  0.500  0.739  0.35



13.
This record from Alexandria describes an optimized crystal structure of Zr2Cu2Au. The functional is GGA-PBE.

N(E_F): 1.09 states/eV/atom
energy above the most stable polymorph in this dataset: 1.23 eV/f.u.
calculated volume: 91.7 Å³ per cell
DFT formation energy: -0.04 eV/atom
crystal system: tetragonal
total energy: -5.754 eV/atom

Cell: 8.737 8.737 8.737 Å, 158.23 158.23 30.98°
Sites, in units of the cell vectors:
Cu  0.250  0.750  0.500
Cu  0.750  0.250  0.500
Au  0.000  0.000  0.000
Zr  0.388  0.388  0.000
Zr  0.612  0.612  0.000



14.
This record from Alexandria describes an optimized crystal structure of Zr6CuAu. The functional is GGA-PBE.

N(E_F): 1.35 states/eV/atom
calculated volume: 166.4 Å³ per cell
DFT formation energy: -0.17 eV/atom
crystal system: triclinic
total energy: -7.500 eV/atom

Cell: 7.785 7.784 5.502 Å, 44.96 44.94 59.92°
Sites, in units of the cell vectors:
Zr  0.999  0.502  0.748
Zr  0.500  0.248  0.250
Zr  0.249  0.000  0.253
Zr  0.001  0.498  0.252
Zr  0.751  0.000  0.747
Zr  0.500  0.752  0.750
Cu  0.000  0.000  0.000
Au  0.500  0.500  0.500



15.
This record from Alexandria describes an optimized crystal structure of ZrCuAu3. The functional is GGA-PBE.

N(E_F): 0.59 states/eV/atom
energy above the most stable polymorph in this dataset: 0.00 eV/f.u.
calculated volume: 183.3 Å³ per cell
DFT formation energy: -0.25 eV/atom
crystal system: orthorhombic
total energy: -4.744 eV/atom

Cell: 6.213 6.748 4.373 Å, 90.00 90.00 90.00°
Sites, in units of the cell vectors:
Zr  0.270  0.250  0.750
Zr  0.730  0.750  0.250
Cu  0.440  0.750  0.750
Cu  0.560  0.250  0.250
Au  0.290  0.956  0.250
Au  0.710  0.044  0.750
Au  0.033  0.750  0.750
Au  0.967  0.250  0.250
Au  0.290  0.544  0.250
Au  0.710  0.456  0.750



16.
This record from Alexandria describes an optimized crystal structure of ZrCuAu2. The functional is GGA-PBE.

N(E_F): 0.47 states/eV/atom
calculated volume: 72.5 Å³ per cell
DFT formation energy: -0.17 eV/atom
crystal system: monoclinic
total energy: -4.965 eV/atom

Cell: 7.247 4.889 3.050 Å, 89.99 65.21 127.70°
Sites, in units of the cell vectors:
Au  0.500  0.000  0.500
Au  0.000  0.000  0.000
Cu  0.000  0.500  0.500
Zr  0.500  0.500  0.000



17.
This record from Alexandria describes an optimized crystal structure of ZrCuAu2. The functional is GGA-PBE.

N(E_F): 0.74 states/eV/atom
calculated volume: 72.5 Å³ per cell
DFT formation energy: -0.10 eV/atom
crystal system: trigonal
total energy: -4.904 eV/atom

Cell: 8.963 8.963 8.963 Å, 19.83 19.83 19.83°
Sites, in units of the cell vectors:
Au  0.507  0.507  0.507
Au  0.993  0.993  0.993
Cu  0.250  0.250  0.250
Zr  0.750  0.750  0.750



18.
This record from Alexandria describes an optimized crystal structure of ZrCuAu3. The functional is GGA-PBE.

N(E_F): 1.32 states/eV/atom
energy above the most stable polymorph in this dataset: 3.07 eV/f.u.
calculated volume: 105.3 Å³ per cell
DFT formation energy: 0.36 eV/atom
crystal system: cubic
total energy: -4.130 eV/atom

Cell: 4.721 4.721 4.721 Å, 90.00 90.00 90.00°
Last column: magnetic moment on the atom in μB.
Sites, in units of the cell vectors:
Au  0.000  0.500  0.000  0.03
Au  0.000  0.000  0.500  0.01
Au  0.500  0.000  0.000  0.04
Zr  0.500  0.500  0.500  0.61
Cu  0.000  0.000  0.000  0.02



19.
This record from Alexandria describes an optimized crystal structure of Zr2Cu3Au. The functional is GGA-PBE.

N(E_F): 0.54 states/eV/atom
calculated volume: 105.7 Å³ per cell
DFT formation energy: -0.11 eV/atom
crystal system: orthorhombic
total energy: -5.553 eV/atom

Cell: 4.203 2.979 8.824 Å, 99.72 103.78 90.00°
Sites, in units of the cell vectors:
Zr  0.856  0.356  0.712
Zr  0.139  0.139  0.278
Au  0.443  0.943  0.886
Cu  0.711  0.711  0.423
Cu  0.567  0.567  0.133
Cu  0.284  0.784  0.569



20.
This record from Alexandria describes an optimized crystal structure of ZrCuAu3. The functional is GGA-PBE.

N(E_F): 0.91 states/eV/atom
energy above the most stable polymorph in this dataset: 5.98 eV/f.u.
calculated volume: 144.4 Å³ per cell
DFT formation energy: 0.95 eV/atom
crystal system: cubic
total energy: -3.548 eV/atom

Cell: 5.246 5.246 5.246 Å, 90.00 90.00 90.00°
Sites, in units of the cell vectors:
Cu  0.500  0.500  0.500
Zr  0.000  0.000  0.000
Au  0.500  0.000  0.000
Au  0.000  0.000  0.500
Au  0.000  0.500  0.000